Record 1
CaAlCr2 | GGA-PBE | optimized geometry

- Calculated formation energy: 0.150 eV per atom
- Magnetic moment: 1.00 μB/f.u.
- Symmetry: P4mm

Cell and atoms, written as extended XYZ:
```
4
Lattice="3.123 0.000 0.000 0.000 3.123 0.000 0.000 0.000 7.364" Properties=species:S:1:pos:R:3 pbc="T T T"
Ca 0.000 0.000 0.000
Al 1.561 1.561 5.046
Cr 0.000 0.000 3.468
Cr 1.561 1.561 2.368
```

***

Record 2
Ca3AlCr | GGA-PBE | optimized geometry

- Calculated formation energy: 0.892 eV per atom
- Magnetic moment: 0.00 μB/f.u.
- Symmetry: Pm-3m
- Excess energy over the best structure of this formula in the dataset: 0.000 eV per atom

Cell and atoms, written as extended XYZ:
```
5
Lattice="5.349 0.000 0.000 0.000 5.349 0.000 0.000 0.000 5.349" Properties=species:S:1:pos:R:3 pbc="T T T"
Ca 0.000 0.000 2.674
Ca 0.000 2.674 0.000
Ca 2.674 0.000 0.000
Al 2.674 2.674 2.674
Cr 0.000 0.000 0.000
```

***

Record 3
CaAlCr2 | GGA-PBE | optimized geometry

- Calculated formation energy: 0.405 eV per atom
- Magnetic moment: 0.51 μB/f.u.
- Symmetry: Cm

Cell and atoms, written as extended XYZ:
```
4
Lattice="4.698 -1.595 0.000 4.698 1.595 0.000 -1.620 0.000 5.091" Properties=species:S:1:pos:R:3 pbc="T T T"
Ca 0.000 0.000 0.000
Al 0.975 0.000 3.329
Cr 3.625 0.000 2.548
Cr 6.883 0.000 1.551
```

***

Record 4
CaAlCr2 | GGA-PBE | optimized geometry

- Calculated formation energy: 0.789 eV per atom
- Magnetic moment: 1.10 μB/f.u.
- Symmetry: I4_1/amd

Cell and atoms, written as extended XYZ:
```
8
Lattice="-2.131 2.131 9.274 2.131 -2.131 9.274 2.131 2.131 -9.274" Properties=species:S:1:pos:R:3 pbc="T T T"
Ca 2.131 1.065 2.319
Ca 0.000 1.065 6.956
Al 2.131 -1.065 6.956
Al 0.000 3.196 2.319
Cr 0.000 0.000 0.000
Cr 1.065 1.065 -4.637
Cr 1.065 -1.065 4.637
Cr 0.000 2.131 0.000
```

***

Record 5
CaAlCr2 | GGA-PBE | optimized geometry

- Calculated formation energy: 0.716 eV per atom
- Magnetic moment: 6.90 μB/f.u.
- Symmetry: R-3m

Cell and atoms, written as extended XYZ:
```
4
Lattice="1.559 0.900 9.332 -1.559 0.900 9.332 0.000 -1.800 9.332" Properties=species:S:1:pos:R:3 pbc="T T T"
Ca 0.000 0.000 0.000
Al 0.000 0.000 13.998
Cr 0.000 0.000 6.670
Cr 0.000 0.000 21.326
```

***

Record 6
Ca2AlCr | GGA-PBE | optimized geometry

- Calculated formation energy: 0.173 eV per atom
- Magnetic moment: 3.62 μB/f.u.
- Symmetry: P4mm

Cell and atoms, written as extended XYZ:
```
4
Lattice="3.515 0.000 0.000 0.000 3.515 0.000 0.000 0.000 8.497" Properties=species:S:1:pos:R:3 pbc="T T T"
Ca 0.000 0.000 0.000
Ca 1.758 1.758 3.136
Al 1.758 1.758 6.375
Cr 0.000 0.000 5.290
```

***

Record 7
CaAl2Cr | GGA-PBE | optimized geometry

- Calculated formation energy: 0.251 eV per atom
- Magnetic moment: 3.71 μB/f.u.
- Symmetry: Imm2

Cell and atoms, written as extended XYZ:
```
4
Lattice="-1.681 2.482 4.887 1.681 -2.482 4.887 1.681 2.482 -4.887" Properties=species:S:1:pos:R:3 pbc="T T T"
Ca 0.000 0.000 0.000
Al 0.000 0.000 4.952
Al 0.000 2.482 2.194
Cr 1.681 0.000 2.721
```

***

Record 8
CaAl2Cr | GGA-PBE | optimized geometry

- Calculated formation energy: 0.226 eV per atom
- Magnetic moment: 3.96 μB/f.u.
- Symmetry: Cm

Cell and atoms, written as extended XYZ:
```
4
Lattice="4.678 -1.584 0.000 4.678 1.584 0.000 -0.971 0.000 5.614" Properties=species:S:1:pos:R:3 pbc="T T T"
Ca 0.000 0.000 0.000
Al 1.564 0.000 3.842
Al 4.206 0.000 2.760
Cr 6.881 0.000 1.745
```